The following is a DFT calculation (PBE) of a relaxed structure of NdAsS.

Lattice parameters (Å, degrees): 3.922 17.543 5.584 90.00 134.59 90.00
Positions (direct):
As (0.460, 0.502, 0.211)
As (0.540, 0.002, 0.289)
As (0.460, 0.998, 0.711)
As (0.540, 0.498, 0.789)
Nd (0.983, 0.854, 0.233)
Nd (0.017, 0.354, 0.267)
Nd (0.983, 0.646, 0.733)
Nd (0.017, 0.146, 0.767)
S (0.985, 0.686, 0.235)
S (0.015, 0.186, 0.265)
S (0.985, 0.814, 0.735)
S (0.015, 0.314, 0.765)

Computed properties:
Its total magnetic moment is 0.00 μB/cell. As for the calculated volume: 22.80 A^3/atom. As for the space-group type: No. 62. Its uncorrected energy is -6.088 eV per atom.

=====

The following is a DFT calculation (PBE) of a relaxed structure of Nd2ScAs3.

Lattice parameters (Å, degrees): 4.144 4.144 10.094 90.00 90.00 120.00
Positions (direct):
As (0.000, 0.000, 0.000)
As (0.333, 0.667, 0.355)
As (0.667, 0.333, 0.645)
Nd (0.667, 0.333, 0.177)
Nd (0.333, 0.667, 0.823)
Sc (0.000, 0.000, 0.500)

Computed properties:
Its total magnetic moment is 0.00 μB/cell. As for the calculated volume: 25.02 A^3/atom. As for the space-group type: No. 164. Its uncorrected energy is -6.406 eV per atom.

=====

The following is a DFT calculation (PBE) of a relaxed structure of NdSc2As3.

Lattice parameters (Å, degrees): 4.008 4.008 9.781 90.00 90.00 120.00
Positions (direct):
As (0.000, 0.000, 0.000)
As (0.333, 0.667, 0.311)
As (0.667, 0.333, 0.689)
Nd (0.000, 0.000, 0.500)
Sc (0.667, 0.333, 0.157)
Sc (0.333, 0.667, 0.843)

Computed properties:
Its total magnetic moment is 0.00 μB/cell. As for the calculated volume: 22.68 A^3/atom. As for the space-group type: No. 164. Its uncorrected energy is -6.619 eV per atom.

=====

The following is a DFT calculation (PBE) of a relaxed structure of NdScAs.

Lattice parameters (Å, degrees): 4.766 4.766 4.766 60.00 60.00 60.00
Positions (direct):
As (0.000, 0.000, 0.000)
Nd (0.250, 0.250, 0.250)
Sc (0.750, 0.750, 0.750)

Computed properties:
Its total magnetic moment is 0.02 μB/cell. As for the calculated volume: 25.51 A^3/atom. As for the space-group type: No. 216. Its uncorrected energy is -5.999 eV per atom.

=====

The following is a DFT calculation (PBE) of a relaxed structure of NdScAs.

Lattice parameters (Å, degrees): 4.935 4.935 4.935 60.00 60.00 60.00
Each line ends with the local moment (μB).
Positions (direct):
As (0.250, 0.250, 0.250)  -0.03
Nd (0.000, 0.000, 0.000)  0.46
Sc (0.750, 0.750, 0.750)  0.91

Computed properties:
Its total magnetic moment is 2.00 μB/cell. As for the calculated volume: 28.33 A^3/atom. As for the space-group type: No. 216. Its uncorrected energy is -5.056 eV per atom.

=====

The following is a DFT calculation (PBE) of a relaxed structure of Nd3As2Se.

Lattice parameters (Å, degrees): 7.371 7.371 7.371 146.42 131.85 59.98
Positions (direct):
As (0.334, 0.334, 0.000)
As (0.666, 0.666, 0.000)
Nd (0.500, 0.000, 0.500)
Nd (0.828, 0.328, 0.500)
Nd (0.172, 0.672, 0.500)
Se (0.000, 0.000, 0.000)

Computed properties:
Its total magnetic moment is 0.01 μB/cell. For the distance to the lowest polymorph of the same formula, the calculation gives 0.0000 eV per atom. As for the calculated volume: 27.26 A^3/atom. As for the space-group type: No. 71. Its uncorrected energy is -6.195 eV per atom.

=====

The following is a DFT calculation (PBE) of a relaxed structure of Nd3AsSe2.

Lattice parameters (Å, degrees): 4.243 4.243 10.372 90.00 90.00 120.00
Positions (direct):
As (0.000, 0.000, 0.500)
Nd (0.000, 0.000, 0.000)
Nd (0.333, 0.667, 0.339)
Nd (0.667, 0.333, 0.661)
Se (0.667, 0.333, 0.165)
Se (0.333, 0.667, 0.835)

Computed properties:
Its total magnetic moment is 0.01 μB/cell. As for the calculated volume: 26.96 A^3/atom. As for the space-group type: No. 164. Its uncorrected energy is -6.087 eV per atom.

=====

The following is a DFT calculation (PBE) of a relaxed structure of Nd3As2Se.

Lattice parameters (Å, degrees): 4.256 4.256 10.452 90.00 90.00 120.00
Positions (direct):
As (0.667, 0.333, 0.168)
As (0.333, 0.667, 0.832)
Nd (0.000, 0.000, 0.000)
Nd (0.333, 0.667, 0.323)
Nd (0.667, 0.333, 0.677)
Se (0.000, 0.000, 0.500)

Computed properties:
Its total magnetic moment is 0.00 μB/cell. For the distance to the lowest polymorph of the same formula, the calculation gives 0.0059 eV per atom. As for the calculated volume: 27.32 A^3/atom. As for the space-group type: No. 164. Its uncorrected energy is -6.189 eV per atom.

=====

The following is a DFT calculation (PBE) of a relaxed structure of NdSiAs.

Lattice parameters (Å, degrees): 4.875 4.875 4.875 60.00 60.00 60.00
Positions (direct):
As (0.250, 0.250, 0.250)
Nd (0.000, 0.000, 0.000)
Si (0.750, 0.750, 0.750)

Computed properties:
Its total magnetic moment is 0.00 μB/cell. As for the calculated volume: 27.31 A^3/atom. As for the space-group type: No. 216. Its uncorrected energy is -4.980 eV per atom.

=====

The following is a DFT calculation (PBE) of a relaxed structure of NdSiAs.

Lattice parameters (Å, degrees): 4.763 4.763 4.763 60.00 60.00 60.00
Positions (direct):
As (0.250, 0.250, 0.250)
Nd (0.750, 0.750, 0.750)
Si (0.000, 0.000, 0.000)

Computed properties:
Its total magnetic moment is 0.00 μB/cell. As for the calculated volume: 25.48 A^3/atom. As for the space-group type: No. 216. Its uncorrected energy is -5.134 eV per atom.

=====

The following is a DFT calculation (PBE) of a relaxed structure of NdSmZr2As2.

Lattice parameters (Å, degrees): 8.657 8.657 8.657 152.18 152.18 39.76
Each line ends with the local moment (μB).
Positions (direct):
As (0.128, 0.128, 0.000)  -0.01
As (0.873, 0.873, 0.000)  -0.01
Nd (0.322, 0.322, 0.000)  0.07
Sm (0.676, 0.676, 0.000)  0.07
Zr (0.500, 0.000, 0.500)  0.03
Zr (0.000, 0.500, 0.500)  0.03

Computed properties:
Its total magnetic moment is 0.43 μB/cell. As for the calculated volume: 23.51 A^3/atom. As for the space-group type: No. 107. Its uncorrected energy is -6.973 eV per atom.

=====

The following is a DFT calculation (PBE) of a relaxed structure of SrNdAs.

Lattice parameters (Å, degrees): 5.114 5.114 5.114 60.00 60.00 60.00
Positions (direct):
As (0.000, 0.000, 0.000)
Nd (0.250, 0.250, 0.250)
Sr (0.750, 0.750, 0.750)

Computed properties:
Its total magnetic moment is 0.00 μB/cell. As for the calculated volume: 31.52 A^3/atom. As for the space-group type: No. 216. Its uncorrected energy is -4.426 eV per atom.

=====

- What is the formula in the ninth record?
  NdSiAs